(1)
The following is a DFT calculation (PBE-GGA) of a relaxed structure of Mg3NbCl.

Its magnetization is 2.00 Bohr magnetons per cell. The value obtained for the energy relative to the elements, uncorrected is 0.464 eV per atom. Its total energy is -2.876 eV/atom. Its crystal system is cubic.

The space group is Pm-3m (No. 221) and the conventional cell measures 4.849, 4.849 and 4.849 Å, with angles of 90.00, 90.00 and 90.00 degrees. The inequivalent atoms are Mg at (0.000, 0.000, 0.500), Nb at (0.500, 0.500, 0.500) and Cl at (0.000, 0.000, 0.000).

***

(2)
The following is a DFT calculation (PBE-GGA) of a relaxed structure of Mg3NbCl.

Its magnetization is 3.99 Bohr magnetons per cell. The value obtained for the energy relative to the elements, uncorrected is 0.868 eV per atom. Its total energy is -2.472 eV/atom. Its crystal system is cubic.

The space group is Pm-3m (No. 221) and the conventional cell measures 5.610, 5.610 and 5.610 Å, with angles of 90.00, 90.00 and 90.00 degrees. The inequivalent atoms are Mg at (0.000, 0.000, 0.500), Nb at (0.000, 0.000, 0.000) and Cl at (0.500, 0.500, 0.500).

***

(3)
The following is a DFT calculation (PBE-GGA) of a relaxed structure of MgNbCl3.

Its magnetization is 2.00 Bohr magnetons per cell. The value obtained for the energy relative to the elements, uncorrected is -0.524 eV per atom. Its total energy is -3.965 eV/atom. Its crystal system is cubic.

The space group is Pm-3m (No. 221) and the conventional cell measures 5.099, 5.099 and 5.099 Å, with angles of 90.00, 90.00 and 90.00 degrees. The inequivalent atoms are Mg at (0.000, 0.000, 0.000), Nb at (0.500, 0.500, 0.500) and Cl at (0.000, 0.500, 0.500).